*P*
Compound: Sc2PPt
Source: Alexandria via LeMat-Bulk
Functional: PBE
Structure: optimized geometry

```
4
Lattice="4.580 0.000 0.000 0.000 4.580 0.000 0.000 0.000 3.388" Properties=species:S:1:pos:R:3 pbc="T T T"
Sc 2.290 0.000 0.000
Sc 0.000 2.290 0.000
P 2.290 2.290 1.694
Pt 0.000 0.000 1.694
```

## Properties
calculated density = 7.4 Mg/m³
spin magnetization = 0.000 μB per cell

---

*Q*
Compound: Sc2PPt
Source: Alexandria via LeMat-Bulk
Functional: PBE
Structure: optimized geometry

```
8
Lattice="6.941 0.000 0.000 0.000 6.941 0.000 3.471 3.471 3.395" Properties=species:S:1:pos:R:3 pbc="T T T"
Sc 5.145 1.735 0.849
Sc 1.797 5.206 0.849
Sc 5.206 5.267 2.546
Sc 8.677 8.615 2.546
P 3.471 3.471 0.000
P 3.471 6.941 1.697
Pt 0.000 0.000 0.000
Pt 6.941 3.471 1.697
```

## Properties
calculated density = 6.4 Mg/m³
spin magnetization = 0.000 μB per cell

---

Each structure's energy above the most stable one, in meV per atom: *P* 0; *Q* 266.

---

*P*
Compound: Sc2PPt
Source: Alexandria via LeMat-Bulk
Functional: PBE
Structure: optimized geometry

```
4
Lattice="5.330 0.003 0.000 4.058 3.455 0.000 0.000 0.000 3.958" Properties=species:S:1:pos:R:3 pbc="T T T"
Sc 0.158 0.058 0.495
Sc 6.878 2.534 2.474
P 4.331 1.595 2.474
Pt 2.714 1.000 0.495
```

## Properties
calculated density = 7.2 Mg/m³
spin magnetization = 0.000 μB per cell

---

*Q*
Compound: Sc2PPt
Source: Alexandria via LeMat-Bulk
Functional: PBE
Structure: optimized geometry

```
4
Lattice="2.153 0.000 8.153 -1.076 1.864 8.153 -1.076 -1.864 8.153" Properties=species:S:1:pos:R:3 pbc="T T T"
Sc 0.000 0.000 21.955
Sc 0.000 0.000 2.503
P 0.000 0.000 0.000
Pt 0.000 0.000 12.229
```

## Properties
calculated density = 5.3 Mg/m³
spin magnetization = 0.000 μB per cell

---

Each structure's energy above the most stable one, in meV per atom: *P* 0; *Q* 922.

---

*P*
Compound: Sc2PPt2
Source: Alexandria via LeMat-Bulk
Functional: PBE
Structure: optimized geometry

```
10
Lattice="6.949 0.000 0.000 0.000 6.949 0.000 0.000 0.000 3.738" Properties=species:S:1:pos:R:3 pbc="T T T"
Sc 1.183 4.658 1.869
Sc 4.658 5.766 1.869
Sc 5.766 2.291 1.869
Sc 2.291 1.183 1.869
P 0.000 0.000 0.000
P 3.475 3.475 0.000
Pt 2.518 5.993 0.000
Pt 5.993 4.431 0.000
Pt 4.431 0.956 0.000
Pt 0.956 2.518 0.000
```

## Properties
calculated density = 9.4 Mg/m³
spin magnetization = 0.000 μB per cell

---

*Q*
Compound: Sc2PPt2
Source: Alexandria via LeMat-Bulk
Functional: PBE
Structure: optimized geometry

```
5
Lattice="-3.508 -2.601 6.147 -2.769 2.572 6.525 0.820 0.429 -7.483" Properties=species:S:1:pos:R:3 pbc="T T T"
Sc -3.805 -0.018 7.681
Sc -2.472 -0.012 4.991
P 0.000 0.000 0.000
Pt -2.544 1.493 2.689
Pt -2.913 -1.093 2.500
```

## Properties
calculated density = 8.7 Mg/m³
spin magnetization = 0.000 μB per cell

---

*R*
Compound: Sc2PPt2
Source: Alexandria via LeMat-Bulk
Functional: PBE
Structure: optimized geometry

```
5
Lattice="-2.400 -3.448 -3.103 2.636 -3.889 2.281 -2.564 -4.032 2.068" Properties=species:S:1:pos:R:3 pbc="T T T"
Sc -2.423 -5.574 -0.723
Sc 0.095 -5.794 1.969
P 0.000 0.000 0.000
Pt -0.788 -3.791 0.427
Pt -1.539 -7.577 0.819
```

## Properties
calculated density = 8.5 Mg/m³
spin magnetization = 0.000 μB per cell

---

Each structure's energy above the most stable one, in meV per atom: *P* 0; *Q* 95; *R* 221.

---

*P*
Compound: SiP2Pt
Source: Alexandria via LeMat-Bulk
Functional: PBE
Structure: optimized geometry

```
4
Lattice="-0.474 -1.620 -4.206 1.436 -4.248 0.664 -3.218 2.107 2.398" Properties=species:S:1:pos:R:3 pbc="T T T"
P 0.000 0.000 0.000
P -0.651 -2.537 0.646
Pt 0.481 -2.934 -1.771
Si -1.606 -1.224 -1.790
```

## Properties
calculated density = 8.0 Mg/m³
spin magnetization = 0.000 μB per cell

---

*Q*
Compound: SiP2Pt
Source: Alexandria via LeMat-Bulk
Functional: PBE
Structure: optimized geometry

```
4
Lattice="4.286 -0.006 0.000 -0.981 4.172 0.000 0.000 0.000 3.331" Properties=species:S:1:pos:R:3 pbc="T T T"
P 0.000 0.000 0.000
P 1.652 2.083 0.000
Pt 2.143 -0.003 1.666
Si -0.491 2.086 1.666
```

## Properties
calculated density = 8.0 Mg/m³
spin magnetization = 0.000 μB per cell

---

Each structure's energy above the most stable one, in meV per atom: *P* 24; *Q* 0.

---

*P*
Compound: SiP2Pt
Source: Alexandria via LeMat-Bulk
Functional: PBE
Structure: optimized geometry

```
4
Lattice="3.525 0.000 0.000 0.000 4.370 0.016 0.000 1.249 4.133" Properties=species:S:1:pos:R:3 pbc="T T T"
P 0.000 1.432 4.021
P 0.000 2.627 2.186
Pt 1.763 1.405 1.037
Si 1.763 4.214 3.112
```

## Properties
calculated density = 7.4 Mg/m³
spin magnetization = 0.000 μB per cell

---

*Q*
Compound: SiP2Pt
Source: Alexandria via LeMat-Bulk
Functional: PBE
Structure: optimized geometry

```
4
Lattice="-0.999 -1.780 -2.882 3.385 -0.651 -0.770 -0.200 -4.152 2.634" Properties=species:S:1:pos:R:3 pbc="T T T"
P -0.175 -3.633 2.305
P 1.118 -2.773 -0.838
Pt -0.075 -1.557 0.988
Si 1.019 -4.849 0.479
```

## Properties
calculated density = 7.7 Mg/m³
spin magnetization = 0.000 μB per cell

---

*R*
Compound: SiP2Pt
Source: Alexandria via LeMat-Bulk
Functional: PBE
Structure: optimized geometry

```
4
Lattice="-0.852 -3.039 -1.523 0.373 -2.992 1.785 -5.541 -1.532 2.074" Properties=species:S:1:pos:R:3 pbc="T T T"
P -0.490 -6.030 0.267
P -2.999 -3.783 1.164
Pt -4.515 -5.672 1.753
Si -1.505 -1.891 0.584
```

## Properties
calculated density = 7.7 Mg/m³
spin magnetization = 0.000 μB per cell

---

Each structure's energy above the most stable one, in meV per atom: *P* 0; *Q* 58; *R* 106.

---

*P*
Compound: SiP2Pt
Source: Alexandria via LeMat-Bulk
Functional: PBE
Structure: optimized geometry

```
8
Lattice="-3.240 1.958 -2.193 0.679 -1.194 4.154 4.457 9.668 2.050" Properties=species:S:1:pos:R:3 pbc="T T T"
Si 0.329 9.028 -0.290
Si 1.567 1.405 4.300
P 2.403 10.283 1.929
P 1.459 4.415 2.985
P -0.507 0.150 2.081
P 0.437 6.018 1.025
Pt 1.481 8.101 1.576
Pt 0.415 2.332 2.434
```

## Properties
calculated density = 6.5 Mg/m³
spin magnetization = 0.000 μB per cell

---

*Q*
Compound: SiP2Pt
Source: Alexandria via LeMat-Bulk
Functional: PBE
Structure: optimized geometry

```
4
Lattice="-0.762 1.522 -2.551 0.549 -2.516 -1.665 -6.325 -1.886 0.765" Properties=species:S:1:pos:R:3 pbc="T T T"
P -0.413 -0.123 0.050
P -1.482 -0.907 -1.942
Pt -3.218 -0.960 0.389
Si -4.589 -1.834 -1.566
```

## Properties
calculated density = 7.6 Mg/m³
spin magnetization = 0.000 μB per cell

---

Each structure's energy above the most stable one, in meV per atom: *P* 0; *Q* 354.

---

*P*
Compound: SiPPt
Source: Alexandria via LeMat-Bulk
Functional: PBE
Structure: optimized geometry

```
12
Lattice="3.327 0.000 0.000 0.000 7.210 0.000 0.000 0.000 8.131" Properties=species:S:1:pos:R:3 pbc="T T T"
P 0.832 0.271 6.853
P 2.495 3.334 2.788
P 2.495 6.939 1.278
P 0.832 3.876 5.343
Si 0.832 6.836 2.943
Si 2.495 3.979 7.009
Si 2.495 0.374 5.188
Si 0.832 3.231 1.122
Pt 0.832 1.827 4.024
Pt 2.495 1.778 8.090
Pt 2.495 5.383 4.107
Pt 0.832 5.432 0.041
```

## Properties
calculated density = 8.7 Mg/m³
spin magnetization = 0.000 μB per cell

---

*Q*
Compound: SiPPt
Source: Alexandria via LeMat-Bulk
Functional: PBE
Structure: optimized geometry

```
3
Lattice="-1.400 3.770 0.836 -1.683 0.801 3.660 1.986 2.377 2.698" Properties=species:S:1:pos:R:3 pbc="T T T"
P 0.000 0.000 0.000
Pt -0.549 3.474 3.597
Si -0.823 5.210 5.396
```

## Properties
calculated density = 8.6 Mg/m³
spin magnetization = 0.000 μB per cell

---

Each structure's energy above the most stable one, in meV per atom: *P* 0; *Q* 291.

---

*P*
Compound: SiPPt
Source: Alexandria via LeMat-Bulk
Functional: PBE
Structure: optimized geometry

```
3
Lattice="5.775 -0.002 0.000 4.329 3.822 0.000 -5.052 -1.910 2.044" Properties=species:S:1:pos:R:3 pbc="T T T"
P 10.063 3.804 0.000
Pt 3.311 1.251 0.000
Si 6.835 2.583 0.000
```

## Properties
calculated density = 9.3 Mg/m³
spin magnetization = 0.000 μB per cell

---

*Q*
Compound: SiPPt
Source: Alexandria via LeMat-Bulk
Functional: PBE
Structure: optimized geometry

```
12
Lattice="5.834 0.000 0.000 0.000 5.834 0.000 0.000 0.000 5.834" Properties=species:S:1:pos:R:3 pbc="T T T"
P 0.657 0.657 0.657
P 2.260 5.177 3.574
P 5.177 3.574 2.260
P 3.574 2.260 5.177
Si 5.191 5.191 5.191
Si 3.560 0.643 2.274
Si 0.643 2.274 3.560
Si 2.274 3.560 0.643
Pt 2.933 2.933 2.933
Pt 5.817 2.900 0.017
Pt 2.900 0.017 5.817
Pt 0.017 5.817 2.900
```

## Properties
calculated density = 8.5 Mg/m³
spin magnetization = 0.000 μB per cell

---

Each structure's energy above the most stable one, in meV per atom: *P* 621; *Q* 0.

---

*P*
Compound: SiP2Pt2
Source: Alexandria via LeMat-Bulk
Functional: PBE
Structure: optimized geometry

```
10
Lattice="-3.358 -1.367 -0.798 1.006 -3.287 1.401 -4.397 3.778 12.024" Properties=species:S:1:pos:R:3 pbc="T T T"
Si -4.983 2.155 8.636
Si -0.590 -0.704 3.690
P -3.356 0.758 4.188
P -2.217 0.693 8.137
P 0.117 -1.312 1.756
P -5.690 2.763 10.569
Pt -2.199 1.889 6.012
Pt -3.375 -0.438 6.313
Pt -2.596 0.105 2.110
Pt -2.977 1.346 10.215
```

## Properties
calculated density = 8.7 Mg/m³
spin magnetization = 0.000 μB per cell

---

*Q*
Compound: SiP2Pt2
Source: Alexandria via LeMat-Bulk
Functional: PBE
Structure: optimized geometry

```
10
Lattice="-3.652 -6.183 -2.186 -1.001 -1.947 7.180 -2.411 1.408 0.046" Properties=species:S:1:pos:R:3 pbc="T T T"
P -2.336 -1.370 4.289
P -4.391 -4.908 4.842
P -4.728 -5.352 0.751
P -2.673 -1.814 0.198
Si 0.000 0.000 0.000
Si -2.326 -4.065 2.497
Pt -2.012 -3.614 5.212
Pt -3.688 -6.415 3.045
Pt -2.641 -4.516 -0.218
Pt -0.965 -1.716 1.949
```

## Properties
calculated density = 10.1 Mg/m³
spin magnetization = 0.000 μB per cell

---

Each structure's energy above the most stable one, in meV per atom: *P* 61; *Q* 0.

---

*P*
Compound: SiP2Pt2
Source: Alexandria via LeMat-Bulk
Functional: PBE
Structure: optimized geometry

```
5
Lattice="-2.224 2.224 4.447 2.224 -2.224 4.447 2.224 2.224 -4.447" Properties=species:S:1:pos:R:3 pbc="T T T"
Si 0.000 0.000 0.000
P 2.224 0.000 2.224
P 0.000 2.224 2.224
Pt 0.000 0.000 5.769
Pt 0.000 0.000 3.126
```

## Properties
calculated density = 9.1 Mg/m³
spin magnetization = 0.000 μB per cell

---

*Q*
Compound: SiP2Pt2
Source: Alexandria via LeMat-Bulk
Functional: PBE
Structure: optimized geometry

```
5
Lattice="-2.527 1.181 -2.711 2.438 -1.186 -2.789 -2.455 -5.060 -2.706" Properties=species:S:1:pos:R:3 pbc="T T T"
P -2.513 -1.941 -4.083
P -0.031 -3.124 -4.122
Si 0.000 0.000 0.000
Pt -0.616 -1.201 -2.739
Pt -1.928 -3.864 -5.466
```

## Properties
calculated density = 9.4 Mg/m³
spin magnetization = 0.000 μB per cell

---

Each structure's energy above the most stable one, in meV per atom: *P* 7; *Q* 0.

---

*P*
Compound: Sn3PPt
Source: Alexandria via LeMat-Bulk
Functional: PBE
Structure: optimized geometry

```
5
Lattice="-4.947 0.147 1.052 0.320 -4.572 2.142 1.012 2.161 4.461" Properties=species:S:1:pos:R:3 pbc="T T T"
P 0.000 0.000 0.000
Sn 0.160 -2.286 1.071
Sn 0.506 1.081 2.231
Sn -2.473 0.073 0.526
Pt -1.807 -1.132 3.828
```

## Properties
calculated density = 7.5 Mg/m³
spin magnetization = 0.000 μB per cell

---

*Q*
Compound: Sn3PPt
Source: Alexandria via LeMat-Bulk
Functional: PBE
Structure: optimized geometry

```
5
Lattice="5.181 0.000 0.000 0.000 5.181 0.000 0.000 0.000 5.181" Properties=species:S:1:pos:R:3 pbc="T T T"
P 2.590 2.590 2.590
Sn 0.000 2.590 0.000
Sn 0.000 0.000 2.590
Sn 2.590 0.000 0.000
Pt 0.000 0.000 0.000
```

## Properties
calculated density = 7.0 Mg/m³
spin magnetization = 0.000 μB per cell

---

Each structure's energy above the most stable one, in meV per atom: *P* 359; *Q* 0.

---

*P*
Compound: SrP2Pt
Source: Alexandria via LeMat-Bulk
Functional: PBE
Structure: optimized geometry

```
4
Lattice="3.923 0.000 0.000 0.000 4.952 -0.003 0.000 0.484 4.548" Properties=species:S:1:pos:R:3 pbc="T T T"
Sr 1.962 4.077 3.409
Pt 1.962 1.359 1.136
P 0.000 1.178 4.460
P 0.000 2.024 2.362
```

## Properties
calculated density = 6.5 Mg/m³
spin magnetization = 0.000 μB per cell

---

*Q*
Compound: SrP2Pt
Source: Alexandria via LeMat-Bulk
Functional: PBE
Structure: optimized geometry

```
4
Lattice="4.826 0.000 0.000 2.413 4.180 0.000 2.413 1.393 3.941" Properties=species:S:1:pos:R:3 pbc="T T T"
P 0.000 0.000 0.000
P 2.413 1.393 0.985
Pt 4.826 2.786 1.970
Sr 7.239 4.180 2.955
```

## Properties
calculated density = 7.2 Mg/m³
spin magnetization = 0.000 μB per cell

---

Each structure's energy above the most stable one, in meV per atom: *P* 0; *Q* 1016.